No. 1
## TiFeCl3 (PBEsol)

Data for a relaxed TiFeCl3 crystal.

Properties
ρ = 3.14 g/cm3
Calculated volume = 22.23 A^3/atom
Raw total energy = -4.891 eV/atom
Spin magnetization = 5.82 μB/cell

a b c (Å): 4.8080 4.8080 4.8080
angles (deg): 90.00 90.00 90.00
Space group Pm-3m (No. 221)
Unique sites:
Ti: 0.0000 0.0000 0.0000 (multiplicity 1)
Fe: 0.5000 0.5000 0.5000 (multiplicity 1)
Cl: 0.0000 0.0000 0.5000 (multiplicity 3)

No. 2
## TlFeCl (PBEsol)

Data for a relaxed TlFeCl crystal.

Properties
ρ = 6.23 g/cm3
Calculated volume = 26.28 A^3/atom
Raw total energy = -3.708 eV/atom
Spin magnetization = 14.42 μB/cell

a b c (Å): 6.8069 6.8069 6.8069
angles (deg): 90.00 90.00 90.00
Space group F-43m (No. 216)
Unique sites:
Tl: 0.0000 0.0000 0.0000 (multiplicity 4)
Fe: 0.2500 0.2500 0.7500 (multiplicity 4)
Cl: 0.2500 0.2500 0.2500 (multiplicity 4)

No. 3
## TlFeCl2 (PBEsol)

Data for a relaxed TlFeCl2 crystal.

Properties
Energy above the most stable polymorph in this dataset = 0 meV per atom
ρ = 5.90 g/cm3
Calculated volume = 23.31 A^3/atom
Raw total energy = -4.285 eV/atom
Spin magnetization = 6.25 μB/cell

a b c (Å): 3.4055 4.3446 12.6015
angles (deg): 90.00 90.00 90.00
Space group Amm2 (No. 38)
Unique sites:
Tl: 0.0000 0.0000 0.0000 (multiplicity 2)
Fe: 0.5000 0.0000 0.8046 (multiplicity 2)
Cl: 0.0000 0.0000 0.6793 (multiplicity 2)
Cl: 0.5000 0.0000 0.3610 (multiplicity 2)

No. 4
## Tl2FeCl (PBEsol)

Data for a relaxed Tl2FeCl crystal.

Properties
Energy above the most stable polymorph in this dataset = 117 meV per atom
ρ = 9.21 g/cm3
Calculated volume = 22.55 A^3/atom
Raw total energy = -3.855 eV/atom
Spin magnetization = 5.76 μB/cell

a b c (Å): 3.0405 3.8954 15.2290
angles (deg): 90.00 90.00 90.00
Space group Immm (No. 71)
Unique sites:
Tl: 0.0000 0.0000 0.1736 (multiplicity 4)
Fe: 0.0000 0.5000 0.5000 (multiplicity 2)
Cl: 0.0000 0.5000 0.0000 (multiplicity 2)